(1)
Pr8HgS6 (PBE-GGA, relaxed); total DFT energy (no corrections) = -86.01 eV for the cell shown; N(E_F) = 0.80 states/eV per atom; spin magnetization = 0.00 μB/f.u.
1.0
10.749 0.000 0.000
-5.374 9.309 0.000
0.000 0.000 4.149
Pr Hg S
8 1 6
Cartesian
-3.354 6.464 1.038
1.453 3.171 1.038
0.000 6.206 3.113
3.473 0.327 3.110
1.901 8.981 1.038
5.374 3.103 1.035
3.921 6.137 3.110
8.729 2.844 3.110
0.000 0.000 2.074
-1.125 4.504 1.039
-0.912 8.031 1.039
3.338 3.226 3.110
2.036 6.083 1.039
6.286 1.278 3.110
6.499 4.805 3.110

---

(2)
Pr3HgS6 (PBE-GGA, relaxed); total DFT energy (no corrections) = -108.12 eV for the cell shown; N(E_F) = 1.01 states/eV per atom; spin magnetization = 0.00 μB/f.u.
1.0
5.546 -6.811 0.000
5.546 6.811 0.000
0.000 0.000 6.916
Pr Hg S
6 2 12
Cartesian
5.546 5.436 3.458
3.509 1.340 2.829
3.509 -1.340 6.287
7.582 1.340 2.829
7.582 -1.340 6.287
5.546 -5.436 0.000
5.546 2.740 6.139
5.546 -2.740 2.681
3.583 3.646 4.692
1.785 0.407 4.877
1.785 -0.407 1.418
5.546 3.062 1.688
7.509 3.646 4.692
5.546 0.410 4.880
5.546 -0.410 1.422
3.583 -3.646 1.234
5.546 -3.062 5.146
9.306 0.407 4.877
9.306 -0.407 1.418
7.509 -3.646 1.234